VASP calculation (GGA-PBE) on crystalline HoThSb at its relaxed geometry.

Geometry as CIF:
```
data_HoThSb
_chemical_formula_sum 'Ho4 Th4 Sb4'
_space_group_name_H-M_alt 'F -4 3 m'
_space_group_IT_number 216
_space_group_name_Hall 'F -4 2 3'
_cell_length_a 7.307
_cell_length_b 7.307
_cell_length_c 7.307
_cell_angle_alpha 90.00
_cell_angle_beta 90.00
_cell_angle_gamma 90.00
loop_
_atom_site_label
_atom_site_type_symbol
_atom_site_fract_x
_atom_site_fract_y
_atom_site_fract_z
_atom_site_occupancy
Ho1 Ho 0.000 0.000 0.000 1
Th1 Th 0.000 0.000 0.500 1
Sb1 Sb 0.250 0.250 0.250 1
```

Summary:
Calculated total energy: -5.665 eV per atom
Spin magnetization: 0.31 Bohr magnetons per cell

VASP calculation (GGA-PBE) on crystalline CuAg4 at its relaxed geometry.

Geometry as CIF:
```
data_CuAg4
_chemical_formula_sum 'Cu4 Ag16'
_space_group_name_H-M_alt 'C m m m'
_space_group_IT_number 65
_space_group_name_Hall '-C 2 2'
_cell_length_a 4.078
_cell_length_b 20.261
_cell_length_c 4.050
_cell_angle_alpha 90.00
_cell_angle_beta 90.00
_cell_angle_gamma 90.00
loop_
_atom_site_label
_atom_site_type_symbol
_atom_site_fract_x
_atom_site_fract_y
_atom_site_fract_z
_atom_site_occupancy
Cu1 Cu 0.000 0.205 0.000 1
Ag1 Ag 0.000 0.000 0.000 1
Ag2 Ag 0.000 0.106 0.500 1
Ag3 Ag 0.000 0.296 0.500 1
Ag4 Ag 0.000 0.395 0.000 1
Ag5 Ag 0.000 0.500 0.500 1
```

Summary:
Energy relative to the lowest polymorph listed for this composition: 2.75 kJ per mole of atoms
E_form: 0.26 eV per formula unit

VASP calculation (GGA-PBE) on crystalline Li2Nb3N5 at its relaxed geometry.

Geometry as CIF:
```
data_Li2Nb3N5
_chemical_formula_sum 'Li8 Nb12 N20'
_space_group_name_H-M_alt 'C 1 2/m 1'
_space_group_IT_number 12
_space_group_name_Hall '-C 2y'
_cell_length_a 9.825
_cell_length_b 4.236
_cell_length_c 9.683
_cell_angle_alpha 90.00
_cell_angle_beta 90.71
_cell_angle_gamma 90.00
loop_
_atom_site_label
_atom_site_type_symbol
_atom_site_fract_x
_atom_site_fract_y
_atom_site_fract_z
_atom_site_occupancy
Li1 Li 0.044 0.000 0.348 1
Li2 Li 0.147 0.000 0.049 1
Nb1 Nb 0.054 0.500 0.857 1
Nb2 Nb 0.145 0.500 0.548 1
Nb3 Nb 0.238 0.500 0.243 1
N1 N 0.047 0.500 0.348 1
N2 N 0.064 0.000 0.845 1
N3 N 0.143 0.500 0.052 1
N4 N 0.152 0.000 0.549 1
N5 N 0.248 0.000 0.249 1
```

Summary:
Calculated total energy: -8.533 eV per atom
Spin magnetization: 0.01 Bohr magnetons per cell

VASP calculation (GGA-PBE) on crystalline CoWAu2 at its relaxed geometry.

Geometry as CIF:
```
data_CoWAu2
_chemical_formula_sum 'Co4 W4 Au8'
_space_group_name_H-M_alt 'F -4 3 m'
_space_group_IT_number 216
_space_group_name_Hall 'F -4 2 3'
_cell_length_a 6.301
_cell_length_b 6.301
_cell_length_c 6.301
_cell_angle_alpha 90.00
_cell_angle_beta 90.00
_cell_angle_gamma 90.00
loop_
_atom_site_label
_atom_site_type_symbol
_atom_site_fract_x
_atom_site_fract_y
_atom_site_fract_z
_atom_site_occupancy
Co1 Co 0.000 0.000 0.000 1
W1 W 0.250 0.250 0.750 1
Au1 Au 0.000 0.000 0.500 1
Au2 Au 0.250 0.250 0.250 1
```

Summary:
Spin magnetization: 3.81 Bohr magnetons per cell
E_form: 2.09 eV per formula unit

VASP calculation (GGA-PBE) on crystalline SmSi2NiOs at its relaxed geometry.

Geometry as CIF:
```
data_SmSi2NiOs
_chemical_formula_sum 'Sm2 Si4 Ni2 Os2'
_space_group_name_H-M_alt 'I -4 m 2'
_space_group_IT_number 119
_space_group_name_Hall 'I -4 -2'
_cell_length_a 4.005
_cell_length_b 4.005
_cell_length_c 10.164
_cell_angle_alpha 90.00
_cell_angle_beta 90.00
_cell_angle_gamma 90.00
loop_
_atom_site_label
_atom_site_type_symbol
_atom_site_fract_x
_atom_site_fract_y
_atom_site_fract_z
_atom_site_occupancy
Sm1 Sm 0.000 0.000 0.000 1
Si1 Si 0.000 0.000 0.376 1
Ni1 Ni 0.000 0.500 0.750 1
Os1 Os 0.000 0.500 0.250 1
```

Summary:
Calculated total energy: -7.230 eV per atom
Spin magnetization: 0.01 Bohr magnetons per cell

VASP calculation (GGA-PBE) on crystalline Zr3Al at its relaxed geometry.

Geometry as CIF:
```
data_Zr3Al
_chemical_formula_sum 'Zr6 Al2'
_space_group_name_H-M_alt 'P m m n'
_space_group_IT_number 59
_cell_length_a 5.094
_cell_length_b 6.053
_cell_length_c 5.527
_cell_angle_alpha 90.00
_cell_angle_beta 90.00
_cell_angle_gamma 90.00
loop_
_space_group_symop_operation_xyz
'x,y,z'
'-x,-y,-z'
'-x+1/2,-y+1/2,z'
'x+1/2,y+1/2,-z'
'x+1/2,-y,-z'
'-x+1/2,y,z'
'-x,y+1/2,-z'
'x,-y+1/2,z'
loop_
_atom_site_label
_atom_site_type_symbol
_atom_site_fract_x
_atom_site_fract_y
_atom_site_fract_z
_atom_site_occupancy
Zr1 Zr 0.250 0.001 0.160 1
Zr2 Zr 0.250 0.250 0.636 1
Al1 Al 0.250 0.750 0.669 1
```

Summary:
Calculated total energy: -7.601 eV per atom
Spin magnetization: 0.01 Bohr magnetons per cell

VASP calculation (GGA-PBE) on crystalline Pr3Tm3Te2Ir at its relaxed geometry.

Geometry as CIF:
```
data_Pr3Tm3Te2Ir
_chemical_formula_sum 'Pr3 Tm3 Te2 Ir1'
_space_group_name_H-M_alt 'P -6 2 m'
_space_group_IT_number 189
_space_group_name_Hall 'P -6 -2'
_cell_length_a 8.4603
_cell_length_b 8.4603
_cell_length_c 4.0834
_cell_angle_alpha 90.00
_cell_angle_beta 90.00
_cell_angle_gamma 120.00
loop_
_atom_site_label
_atom_site_type_symbol
_atom_site_fract_x
_atom_site_fract_y
_atom_site_fract_z
_atom_site_occupancy
Pr1 Pr 0.0000 0.4015 0.0000 1
Tm1 Tm 0.0000 0.7676 0.5000 1
Te1 Te 0.3333 0.6667 0.5000 1
Ir1 Ir 0.0000 0.0000 0.0000 1
```

Summary:
Spin magnetization: 0.03 Bohr magnetons per cell
Energy relative to the lowest polymorph listed for this composition: 0.00 kJ per mole of atoms

VASP calculation (GGA-PBE) on crystalline ErAgTe at its relaxed geometry.

Geometry as CIF:
```
data_ErAgTe
_chemical_formula_sum 'Er4 Ag4 Te4'
_space_group_name_H-M_alt 'F -4 3 m'
_space_group_IT_number 216
_space_group_name_Hall 'F -4 2 3'
_cell_length_a 6.888
_cell_length_b 6.888
_cell_length_c 6.888
_cell_angle_alpha 90.00
_cell_angle_beta 90.00
_cell_angle_gamma 90.00
loop_
_atom_site_label
_atom_site_type_symbol
_atom_site_fract_x
_atom_site_fract_y
_atom_site_fract_z
_atom_site_occupancy
Er1 Er 0.000 0.000 0.000 1
Ag1 Ag 0.250 0.250 0.250 1
Te1 Te 0.000 0.000 0.500 1
```

Summary:
Spin magnetization: 0.01 Bohr magnetons per cell
Energy relative to the lowest polymorph listed for this composition: 24.61 kJ per mole of atoms